# 1
Material: Ba2MgScTe5
Method: DFT, PBE-GGA
State: optimized geometry

E_form (uncorrected): -1264 meV per atom
Fermi-level density of states: 0.664 states/eV/atom

abc: 10.337 10.337 13.968
angles: 90.00 90.00 154.50
Positions (direct):
Ba 0.115 0.885 0.500
Ba 0.129 0.871 0.122
Ba 0.871 0.129 0.622
Ba 0.885 0.115 0.000
Mg 0.437 0.563 0.254
Mg 0.563 0.437 0.754
Sc 0.208 0.792 0.827
Sc 0.792 0.208 0.327
Te 0.062 0.938 0.867
Te 0.290 0.710 0.464
Te 0.303 0.697 0.183
Te 0.351 0.649 0.816
Te 0.497 0.503 0.582
Te 0.503 0.497 0.082
Te 0.649 0.351 0.316
Te 0.697 0.303 0.683
Te 0.710 0.290 0.964
Te 0.938 0.062 0.367



# 2
Material: Ba2MgScTl6
Method: DFT, PBE-GGA
State: optimized geometry

Total energy: -27.83 eV per cell
Fermi-level density of states: 0.523 states/eV/atom

abc: 7.851 7.851 9.783
angles: 128.03 128.03 50.32
Positions (direct):
Ba 0.244 0.244 0.272
Ba 0.756 0.756 0.728
Mg 0.500 0.500 0.000
Sc 0.000 0.000 0.500
Tl 0.250 0.250 0.884
Tl 0.259 0.739 0.743
Tl 0.261 0.741 0.257
Tl 0.739 0.259 0.743
Tl 0.741 0.261 0.257
Tl 0.750 0.750 0.116